This record from Alexandria describes an optimized crystal structure of AlHg4Ru. The functional is GGA-PBEsol.

ΔH_f (0 K) = 0.7143 eV/atom

Cell lengths 7.8433, 7.8433, 7.8433 Å; angles 90.00, 90.00, 90.00 degrees
Last column: nearest neighbours and their distance in Å.
Space group F-43m (No. 216)
Asymmetric unit:
Al  0.0000  0.0000  0.0000 x4  12 Hg 3.25, 4 Ru 3.40
Hg  0.1246  0.1246  0.6246 x16  6 Hg 2.76-2.78
Ru  0.2500  0.2500  0.2500 x4  12 Hg 3.25, 4 Al 3.40